# ScSiRu2, relaxed, DFT PBE
data_ScSiRu2
_space_group_name_H-M_alt 'P 1'
_space_group_IT_number 1
_cell_length_a 2.900
_cell_length_b 2.900
_cell_length_c 7.263
_cell_angle_alpha 90.00
_cell_angle_beta 90.00
_cell_angle_gamma 90.00
loop_
_space_group_symop_operation_xyz
'x,y,z'
loop_
_atom_site_label
_atom_site_fract_x
_atom_site_fract_y
_atom_site_fract_z
Ru1 0.000 0.000 0.980
Ru2 0.500 0.500 0.227
Sc1 0.000 0.000 0.503
Si1 0.500 0.500 0.791
# **Raw total energy**: -7.874 eV per atom
# **Space-group type**: P4mm



# SrYGa2, relaxed, DFT PBE
data_SrYGa2
_space_group_name_H-M_alt 'P 1'
_space_group_IT_number 1
_cell_length_a 8.174
_cell_length_b 8.174
_cell_length_c 6.795
_cell_angle_alpha 53.02
_cell_angle_beta 53.02
_cell_angle_gamma 90.00
loop_
_space_group_symop_operation_xyz
'x,y,z'
loop_
_atom_site_label
_atom_site_fract_x
_atom_site_fract_y
_atom_site_fract_z
Y1 0.000 0.000 0.000
Y2 0.750 0.250 0.500
Sr1 0.500 0.500 0.000
Sr2 0.250 0.750 0.500
Ga1 0.647 0.125 0.250
Ga2 0.103 0.625 0.250
Ga3 0.375 0.353 0.750
Ga4 0.875 0.897 0.750
# **Space-group type**: I-42d
# **Calculated formation energy**: -0.274 eV/f.u.



# CuSb3Se4, relaxed, DFT PBE
data_CuSb3Se4
_space_group_name_H-M_alt 'P 1'
_space_group_IT_number 1
_cell_length_a 6.022
_cell_length_b 6.681
_cell_length_c 10.984
_cell_angle_alpha 90.00
_cell_angle_beta 90.00
_cell_angle_gamma 90.00
loop_
_space_group_symop_operation_xyz
'x,y,z'
loop_
_atom_site_label
_atom_site_fract_x
_atom_site_fract_y
_atom_site_fract_z
Cu1 0.048 0.219 0.000
Cu2 0.548 0.781 0.500
Sb1 0.502 0.009 0.000
Sb2 0.055 0.731 0.251
Sb3 0.555 0.269 0.249
Sb4 0.002 0.991 0.500
Sb5 0.555 0.269 0.751
Sb6 0.055 0.731 0.749
Se1 0.931 0.861 0.000
Se2 0.665 0.377 0.000
Se3 0.129 0.322 0.203
Se4 0.629 0.678 0.297
Se5 0.165 0.623 0.500
Se6 0.431 0.139 0.500
Se7 0.629 0.678 0.703
Se8 0.129 0.322 0.797
# **Raw total energy**: -3.894 eV per atom
# **Space-group type**: Pmn2_1



# MnTcCl2, relaxed, DFT PBE
data_MnTcCl2
_space_group_name_H-M_alt 'P 1'
_space_group_IT_number 1
_cell_length_a 4.424
_cell_length_b 4.424
_cell_length_c 3.124
_cell_angle_alpha 90.00
_cell_angle_beta 90.00
_cell_angle_gamma 90.05
loop_
_space_group_symop_operation_xyz
'x,y,z'
loop_
_atom_site_label
_atom_site_fract_x
_atom_site_fract_y
_atom_site_fract_z
Mn1 0.500 0.000 0.500
Tc1 0.000 0.500 0.500
Cl1 0.000 0.000 0.000
Cl2 0.500 0.500 0.000
# **Space-group type**: P4/mmm
# **Excess energy over the best structure of this formula in the dataset**: 773.2 meV/atom



# Sr2ErGa3Au12, relaxed, DFT PBE
data_Sr2ErGa3Au12
_space_group_name_H-M_alt 'P 1'
_space_group_IT_number 1
_cell_length_a 11.216
_cell_length_b 11.216
_cell_length_c 11.216
_cell_angle_alpha 35.47
_cell_angle_beta 35.47
_cell_angle_gamma 35.47
loop_
_space_group_symop_operation_xyz
'x,y,z'
loop_
_atom_site_label
_atom_site_fract_x
_atom_site_fract_y
_atom_site_fract_z
Sr1 0.637 0.637 0.637
Sr2 0.363 0.363 0.363
Er1 0.000 0.000 0.000
Ga1 0.500 0.000 0.000
Ga2 0.000 0.500 0.000
Ga3 0.000 0.000 0.500
Au1 0.407 0.407 0.819
Au2 0.871 0.871 0.433
Au3 0.433 0.871 0.871
Au4 0.819 0.407 0.407
Au5 0.871 0.433 0.871
Au6 0.407 0.819 0.407
Au7 0.593 0.593 0.181
Au8 0.129 0.129 0.567
Au9 0.567 0.129 0.129
Au10 0.181 0.593 0.593
Au11 0.129 0.567 0.129
Au12 0.593 0.181 0.593
# **Space-group type**: R-3m
# **Calculated formation energy**: -5.498 eV/f.u.



# Ga2Sb2Au, relaxed, DFT PBE
data_Ga2Sb2Au
_space_group_name_H-M_alt 'P 1'
_space_group_IT_number 1
_cell_length_a 4.203
_cell_length_b 4.203
_cell_length_c 7.786
_cell_angle_alpha 74.34
_cell_angle_beta 74.34
_cell_angle_gamma 90.00
loop_
_space_group_symop_operation_xyz
'x,y,z'
loop_
_atom_site_label
_atom_site_fract_x
_atom_site_fract_y
_atom_site_fract_z
Sb1 0.750 0.250 0.500
Sb2 0.250 0.750 0.500
Au1 0.000 0.000 0.000
Ga1 0.411 0.411 0.178
Ga2 0.589 0.589 0.822
# **Space-group type**: I4/mmm
# **Excess energy over the best structure of this formula in the dataset**: 175.9 meV/atom



# SmPuSb2, relaxed, DFT PBE
data_SmPuSb2
_space_group_name_H-M_alt 'P 1'
_space_group_IT_number 1
_cell_length_a 3.318
_cell_length_b 5.754
_cell_length_c 5.754
_cell_angle_alpha 90.00
_cell_angle_beta 90.00
_cell_angle_gamma 90.00
loop_
_space_group_symop_operation_xyz
'x,y,z'
loop_
_atom_site_label
_atom_site_fract_x
_atom_site_fract_y
_atom_site_fract_z
Sb1 0.000 0.000 0.500
Sb2 0.000 0.500 0.000
Sm1 0.500 0.500 0.500
Pu1 0.500 0.000 0.000
# **Space-group type**: P4/mmm
# **Excess energy over the best structure of this formula in the dataset**: 142.7 meV/atom



# TeRu2W, relaxed, DFT PBE
data_TeRu2W
_space_group_name_H-M_alt 'P 1'
_space_group_IT_number 1
_cell_length_a 3.633
_cell_length_b 3.033
_cell_length_c 6.773
_cell_angle_alpha 63.48
_cell_angle_beta 90.00
_cell_angle_gamma 90.00
loop_
_space_group_symop_operation_xyz
'x,y,z'
loop_
_atom_site_label
_atom_site_fract_x
_atom_site_fract_y
_atom_site_fract_z
Ru1 0.000 0.026 0.975
Ru2 0.000 0.474 0.525
Te1 0.500 0.250 0.250
W1 0.500 0.750 0.750
# **Raw total energy**: -8.333 eV per atom
# **Space-group type**: P2/m



Number 1: DOS(E_F) 4.9 states/eV per cell, V 61.07 Å³ per cell. Number 2: DOS(E_F) 6.9 states/eV per cell, V 238.66 Å³ per cell. Number 3: DOS(E_F) 2.4 states/eV per cell, V 441.95 Å³ per cell. Number 4: DOS(E_F) 4.0 states/eV per cell, V 61.14 Å³ per cell. Number 5: DOS(E_F) 7.1 states/eV per cell, V 424.55 Å³ per cell. Number 6: DOS(E_F) 2.2 states/eV per cell, V 127.16 Å³ per cell. Number 7: DOS(E_F) 10.8 states/eV per cell, V 109.87 Å³ per cell. Number 8: DOS(E_F) 3.6 states/eV per cell, V 66.79 Å³ per cell.